Record 1
Entry from the Alexandria database: crystalline Tb14ScIn at its relaxed geometry (PBE).

Cell: 7.0149 7.0149 9.9791 Å, 90.00 90.00 90.00°
Fractional coordinates of all 16 atoms:
Tb: 0.1259 0.8741 0.7556
Tb: 0.6240 0.3760 0.2448
Sc: 0.3751 0.6249 0.0000
Tb: 0.6240 0.3760 0.7552
Tb: 0.1261 0.3761 0.2447
Tb: 0.3755 0.1252 0.0000
Tb: 0.8749 0.1251 0.5000
Tb: 0.3747 0.1250 0.5000
Tb: 0.3749 0.6251 0.5000
Tb: 0.6239 0.8739 0.7553
Tb: 0.6239 0.8739 0.2447
In: 0.8752 0.1248 0.0000
Tb: 0.1259 0.8741 0.2444
Tb: 0.1261 0.3761 0.7553
Tb: 0.8750 0.6253 0.5000
Tb: 0.8748 0.6245 0.0000

Values from the calculation:
ΔH_f (0 K): -0.03 eV per atom
symmetry: P4/mmm
total magnetic moment: 0.00 μB per cell



Record 2
Entry from the Alexandria database: crystalline GaCuN3 at its relaxed geometry (PBE).

Cell: 3.7447 3.7447 3.7447 Å, 90.00 90.00 90.00°
Fractional coordinates of all 5 atoms:
Ga: 0.5000 0.5000 0.5000
N: 0.0000 0.0000 0.5000
N: 0.0000 0.5000 0.0000
N: 0.5000 0.0000 0.0000
Cu: 0.0000 0.0000 0.0000

Values from the calculation:
symmetry: Pm-3m
total magnetic moment: 0.00 μB per cell
E_form (uncorrected): 1911 meV per atom



Record 3
Entry from the Alexandria database: crystalline MgZr2Mo at its relaxed geometry (PBE).

Cell: 5.6668 5.6668 5.6668 Å, 142.88 131.27 62.81°
Fractional coordinates of all 4 atoms:
Mg: 0.5173 0.5173 0.0000
Zr: 0.9764 0.9764 0.0000
Mo: 0.7575 0.2575 0.5000
Zr: 0.2488 0.7488 0.5000

Values from the calculation:
ΔH_f (0 K): 0.17 eV per atom
symmetry: Imm2
total magnetic moment: 0.00 μB per cell



Record 4
Entry from the Alexandria database: crystalline Li6CuS4 at its relaxed geometry (PBE).

Cell: 7.9492 7.9492 5.7318 Å, 90.00 90.00 90.00°
Fractional coordinates of all 22 atoms:
Li: 0.2732 0.2732 0.5000
Li: 0.5000 0.0000 0.0433
S: 0.5000 0.7537 0.7916
Li: 0.0000 0.5000 0.4567
Li: 0.2268 0.2268 0.0000
Cu: 0.5000 0.5000 0.0000
S: 0.7537 0.5000 0.2084
S: 0.2463 0.5000 0.2084
S: 0.5000 0.2463 0.7916
S: 0.7463 0.0000 0.2916
Li: 0.7268 0.2732 0.5000
Li: 0.7732 0.7732 0.0000
S: 0.0000 0.7463 0.7084
Li: 0.5000 0.0000 0.5433
Li: 0.7732 0.2268 0.0000
Li: 0.2732 0.7268 0.5000
Li: 0.7268 0.7268 0.5000
Li: 0.2268 0.7732 0.0000
S: 0.2537 0.0000 0.2916
S: 0.0000 0.2537 0.7084
Cu: 0.0000 0.0000 0.5000
Li: 0.0000 0.5000 0.9567

Values from the calculation:
symmetry: P4_2/nmc
total magnetic moment: 1.72 μB per cell
E_form (uncorrected): -1057 meV per atom



Repeat the fourth record exactly.
Entry from the Alexandria database: crystalline Li6CuS4 at its relaxed geometry (PBE).

Cell: 7.9492 7.9492 5.7318 Å, 90.00 90.00 90.00°
Fractional coordinates of all 22 atoms:
Li: 0.2732 0.2732 0.5000
Li: 0.5000 0.0000 0.0433
S: 0.5000 0.7537 0.7916
Li: 0.0000 0.5000 0.4567
Li: 0.2268 0.2268 0.0000
Cu: 0.5000 0.5000 0.0000
S: 0.7537 0.5000 0.2084
S: 0.2463 0.5000 0.2084
S: 0.5000 0.2463 0.7916
S: 0.7463 0.0000 0.2916
Li: 0.7268 0.2732 0.5000
Li: 0.7732 0.7732 0.0000
S: 0.0000 0.7463 0.7084
Li: 0.5000 0.0000 0.5433
Li: 0.7732 0.2268 0.0000
Li: 0.2732 0.7268 0.5000
Li: 0.7268 0.7268 0.5000
Li: 0.2268 0.7732 0.0000
S: 0.2537 0.0000 0.2916
S: 0.0000 0.2537 0.7084
Cu: 0.0000 0.0000 0.5000
Li: 0.0000 0.5000 0.9567

Values from the calculation:
symmetry: P4_2/nmc
total magnetic moment: 1.72 μB per cell
E_form (uncorrected): -1057 meV per atom



Which value of total magnetic moment does entry 4 give?
1.72 μB per cell



Which value of total magnetic moment does entry 1 give?
0.00 μB per cell



Please write out number 3 again, unchanged.
Entry from the Alexandria database: crystalline MgZr2Mo at its relaxed geometry (PBE).

Cell: 5.6668 5.6668 5.6668 Å, 142.88 131.27 62.81°
Fractional coordinates of all 4 atoms:
Mg: 0.5173 0.5173 0.0000
Zr: 0.9764 0.9764 0.0000
Mo: 0.7575 0.2575 0.5000
Zr: 0.2488 0.7488 0.5000

Values from the calculation:
ΔH_f (0 K): 0.17 eV per atom
symmetry: Imm2
total magnetic moment: 0.00 μB per cell